Tb2InAu3: optimized geometry, PBE. Values from VASP.

Values from the calculation:
Formation energy in eV per atom: -0.76
Total magnetization in Bohr magnetons per cell: 0.00

```
&SYSTEM
  ibrav = 0, nat = 12, ntyp = 3
/
ATOMIC_SPECIES
Au 196.97 Au.upf
Tb 158.93 Tb.upf
In 114.82 In.upf
ATOMIC_POSITIONS angstrom
Au 0.0000 2.8971 11.6178
Au 0.0000 0.0000 3.0286
Au 2.5090 1.4486 0.7685
Au 2.5090 1.4486 7.0975
Au 0.0000 0.0000 9.3577
Au 0.0000 2.8971 5.2888
Tb 0.0000 0.0000 6.1932
Tb 0.0000 0.0000 0.0000
Tb 0.0000 2.8971 2.2894
Tb 2.5090 1.4486 10.0969
In 2.5090 1.4486 4.1288
In 0.0000 2.8971 8.2575
CELL_PARAMETERS angstrom
5.0180 0.0000 0.0000
-2.5090 4.3457 0.0000
0.0000 0.0000 12.3863
```